Compound: CeMg3Tl2
Source: Alexandria via LeMat-Bulk
Functional: PBE-GGA
Structure: relaxed

Cell and atoms, written as extended XYZ:
```
12
Lattice="4.851 0.000 0.000 -2.426 9.189 0.185 0.000 -4.014 6.841" Properties=species:S:1:pos:R:3 pbc="T T T"
Ce 2.426 3.186 6.620
Ce 0.000 1.990 0.407
Mg 0.000 3.450 3.719
Mg 2.426 5.654 4.008
Mg 2.426 -0.620 5.198
Mg 0.000 5.796 1.828
Mg 0.000 -0.478 3.019
Mg 2.426 1.725 3.307
Tl 0.000 5.686 5.601
Tl 2.426 -0.510 1.426
Tl 2.426 4.040 1.469
Tl 0.000 1.136 5.557
```

Computed properties:
Energy of formation from the pure elements: -0.121 eV per atom


Compound: Cu2TeRh
Source: Alexandria via LeMat-Bulk
Functional: PBE-GGA
Structure: relaxed

Cell and atoms, written as extended XYZ:
```
4
Lattice="4.809 -0.237 -0.153 3.140 3.650 -0.153 3.140 1.348 3.395" Properties=species:S:1:pos:R:3 pbc="T T T"
Cu 10.612 4.557 2.956
Cu 3.127 1.343 0.871
Rh 5.757 2.472 1.603
Te 8.226 3.533 2.291
```

Computed properties:
Formation energy (no corrections): 84 meV/atom


Compound: BeAlVIn2
Source: Alexandria via LeMat-Bulk
Functional: PBE-GGA
Structure: relaxed

Cell and atoms, written as extended XYZ:
```
5
Lattice="5.145 0.000 0.000 0.000 5.145 0.000 0.000 0.000 4.276" Properties=species:S:1:pos:R:3 pbc="T T T"
Be 0.000 0.000 2.138
V 2.573 2.573 2.138
Al 0.000 0.000 0.000
In 0.000 2.573 0.000
In 2.573 0.000 0.000
```

Computed properties:
Energy of formation from the pure elements: 1.259 eV per atom